# 1
Computed, not measured: a relaxed Ca8H2N crystal at the PBE level of DFT.

```
Ca8H2N
1.0
6.214 -4.048 0.000
6.214 4.048 0.000
-0.106 0.000 6.382
Ca H N
8 2 1
Direct
0.108 0.677 0.677
0.129 0.129 0.794
0.323 0.892 0.323
0.363 0.363 0.176
0.637 0.637 0.824
0.677 0.108 0.677
0.871 0.871 0.206
0.892 0.323 0.323
0.181 0.181 0.148
0.819 0.819 0.852
0.000 0.000 0.500
```

Fermi-level density of states   7.7 states/eV per cell
Symmetry   No. 12
Electronic total energy   -3.149 eV per atom

=====

# 2
Computed, not measured: a relaxed CaH2N crystal at the PBE level of DFT.

```
CaH2N
1.0
0.000 2.576 2.576
2.576 0.000 2.576
2.576 2.576 0.000
Ca H N
1 2 1
Direct
0.000 0.000 0.000
0.250 0.250 0.250
0.750 0.750 0.750
0.500 0.500 0.500
```

Fermi-level density of states   1.3 states/eV per cell
Symmetry   No. 225
Electronic total energy   -3.822 eV per atom

=====

Copy entry 2 word for word.
Computed, not measured: a relaxed CaH2N crystal at the PBE level of DFT.

```
CaH2N
1.0
0.000 2.576 2.576
2.576 0.000 2.576
2.576 2.576 0.000
Ca H N
1 2 1
Direct
0.000 0.000 0.000
0.250 0.250 0.250
0.750 0.750 0.750
0.500 0.500 0.500
```

Fermi-level density of states   1.3 states/eV per cell
Symmetry   No. 225
Electronic total energy   -3.822 eV per atom

=====

> electronic total energy of number 2 (CaH2N)?

-3.822 eV per atom

=====

> Which formula does entry 1 have?

Ca8H2N